Entry 1:
Entry from the Alexandria database: a relaxed structure of ReBiB3 (GGA-PBE).

Properties
E above lowest polymorph	0.00	eV per formula unit
crystal system	cubic

The structure in POSCAR format:
```
ReBiB3
1.0
4.2353 0.0000 0.0000
0.0000 4.2353 0.0000
0.0000 0.0000 4.2353
Re B Bi
1 3 1
direct
0.0000 0.0000 0.0000
0.0000 0.5000 0.0000
0.0000 0.0000 0.5000
0.5000 0.0000 0.0000
0.5000 0.5000 0.5000
```

***

Entry 2:
Entry from the Alexandria database: a relaxed structure of K2ZnCo (GGA-PBE).

Properties
crystal system	orthorhombic

The structure in POSCAR format:
```
K2ZnCo
1.0
-0.1031 -3.4183 -1.1275
0.1894 -1.1218 3.4165
-9.7034 0.1040 0.5720
Co K Zn
1 2 1
direct
0.5000 0.5000 0.7500
0.0000 0.0000 0.9846
0.0000 0.0000 0.5154
0.5000 0.5000 0.2500
```

***

Record order is preserved below.
Formation enthalpy at 0 K: 1.115, 0.813 eV per atom